Entry 1:
{
  "formula": "Ba2Bi2Pt",
  "functional": "GGA-PBEsol",
  "state": "optimized geometry",
  "cell": [[-0.999, -0.169, 4.225], [4.061, -1.248, 0.911], [1.000, 9.642, -1.612]],
  "species": ["Bi", "Bi", "Ba", "Ba", "Pt"],
  "fractional_positions": [[0.750, 0.250, 0.500], [0.250, 0.750, 0.500], [0.406, 0.406, 0.813], [0.594, 0.594, 0.187], [0.000, 0.000, 0.000]],
  "sg": "No. 139",
  "energy_ev_per_cell": -21.8,
  "magmom_total_mub_per_cell": 0.000,
  "formation_energy_mev_per_atom": -387,
  "volume_a3_per_cell": 176.21
}

***

Entry 2:
{
  "formula": "BaBiPt2",
  "functional": "GGA-PBEsol",
  "state": "optimized geometry",
  "cell": [[5.222, 0.000, 0.000], [0.000, 5.222, 0.000], [-2.611, -2.611, 9.108]],
  "species": ["Ba", "Ba", "Pt", "Pt", "Pt", "Pt", "Bi", "Bi"],
  "fractional_positions": [[0.750, 0.250, 0.500], [0.500, 0.500, 0.000], [0.089, 0.375, 0.250], [0.161, 0.875, 0.250], [0.625, 0.839, 0.750], [0.125, 0.911, 0.750], [0.250, 0.750, 0.500], [0.000, 0.000, 0.000]],
  "sg": "No. 122",
  "energy_ev_per_cell": -43.3,
  "magmom_total_mub_per_cell": 0.000,
  "formation_energy_mev_per_atom": -325,
  "volume_a3_per_cell": 248.40
}

***

Entry 3:
{
  "formula": "RbBaBi2Pt",
  "functional": "GGA-PBEsol",
  "state": "optimized geometry",
  "cell": [[5.519, 0.000, 0.000], [0.000, 6.365, 0.000], [0.000, 0.000, 6.365]],
  "species": ["Rb", "Bi", "Bi", "Ba", "Pt"],
  "fractional_positions": [[0.500, 0.500, 0.500], [0.000, 0.000, 0.500], [0.000, 0.500, 0.000], [0.000, 0.000, 0.000], [0.500, 0.000, 0.000]],
  "sg": "No. 123",
  "energy_ev_per_cell": -15.5,
  "magmom_total_mub_per_cell": 0.001,
  "formation_energy_mev_per_atom": 644,
  "volume_a3_per_cell": 223.63
}

***

Entry 4:
{
  "formula": "RbBa2Bi2",
  "functional": "GGA-PBEsol",
  "state": "optimized geometry",
  "cell": [[-2.055, 2.104, -2.787], [-6.693, -7.692, -0.871], [-5.742, 4.161, 7.377]],
  "species": ["Bi", "Bi", "Bi", "Bi", "Ba", "Ba", "Ba", "Ba", "Rb", "Rb"],
  "fractional_positions": [[0.000, 0.665, 0.165], [0.000, 0.165, 0.335], [0.000, 0.835, 0.665], [0.000, 0.335, 0.835], [0.500, 0.132, 0.632], [0.500, 0.368, 0.132], [0.500, 0.868, 0.368], [0.500, 0.632, 0.868], [0.000, 0.500, 0.500], [0.000, 0.000, 0.000]],
  "sg": "No. 127",
  "energy_ev_per_cell": -35.2,
  "magmom_total_mub_per_cell": 0.000,
  "formation_energy_mev_per_atom": -739,
  "volume_a3_per_cell": 424.27
}